Density functional theory data (PBE) for an optimized crystal structure of Ca2InAu.

Summary:
Energy relative to the elements ... -0.4379 eV/atom

Cell: 4.5103 4.5103 10.5501 Å, 90.00 90.00 90.00°
Last column: nearest neighbours and their distance in Å.
Space group I-4m2 (No. 119)
Symmetry-distinct sites (fractional):
Ca  0.0000  0.0000  0.0000 x2  4 Au 3.19, 4 In 3.47, 4 Ca 3.47
Ca  0.0000  0.5000  0.2500 x2  4 In 3.19, 4 Ca 3.47, 4 Au 3.47
In  0.0000  0.5000  0.7500 x2  8 Ca 3.19-3.47, 4 Au 3.47
Au  0.0000  0.0000  0.5000 x2  8 Ca 3.19-3.47, 4 In 3.47